DFT (PBE-GGA) results for a geometry-optimized LiTmSb2 structure.

Output
Energy above the lowest structure with this stoichiometry   192 meV per atom
SG   R-3m
Raw total energy   -4.20 eV/atom
Raw formation energy   -52.3 kJ per mole of atoms

Lattice parameters (Å, degrees): 4.757 4.757 5.837 65.96 65.96 60.00
Element x y z (fractional)
Tm: 0.500 0.500 0.500
Li: 0.000 0.000 0.000
Sb: 0.257 0.257 0.229
Sb: 0.743 0.743 0.771

---

DFT (PBE-GGA) results for a geometry-optimized LiTmSb2 structure.

Output
Energy above the lowest structure with this stoichiometry   0 meV per atom
SG   P4/nmm
Raw total energy   -4.39 eV/atom
Raw formation energy   -70.8 kJ per mole of atoms

Lattice parameters (Å, degrees): 4.248 4.248 10.647 90.00 90.00 90.00
Element x y z (fractional)
Tm: 0.500 0.000 0.730
Tm: 0.000 0.500 0.270
Sb: 0.000 0.000 0.500
Sb: 0.500 0.500 0.500
Sb: 0.000 0.500 0.828
Sb: 0.500 0.000 0.172
Li: 0.500 0.500 0.000
Li: 0.000 0.000 0.000

---

DFT (PBE-GGA) results for a geometry-optimized Li4TmSb2 structure.

Output
SG   R-3m
Raw total energy   -3.59 eV/atom
Raw formation energy   -65.6 kJ per mole of atoms

Lattice parameters (Å, degrees): 4.524 4.524 8.398 74.37 74.37 60.00
Element x y z (fractional)
Li: 0.861 0.861 0.417
Li: 0.572 0.572 0.284
Li: 0.428 0.428 0.716
Li: 0.139 0.139 0.583
Sb: 0.258 0.258 0.227
Sb: 0.742 0.742 0.773
Tm: 0.000 0.000 0.000